# Nd3Mg3Hg2Ir | OQMD via LeMat-Bulk | PBE | optimized geometry
# - electronic total energy (eV/cell) = -32.4
data_Nd3Mg3Hg2Ir
_cell_length_a 7.5365
_cell_length_b 7.5365
_cell_length_c 4.5538
_cell_angle_alpha 90.00
_cell_angle_beta 90.00
_cell_angle_gamma 120.00
_space_group_name_H-M_alt 'P -6 2 m'
_space_group_IT_number 189
_space_group_name_Hall 'P -6 -2'
loop_
_atom_site_label
_atom_site_type_symbol
_atom_site_fract_x
_atom_site_fract_y
_atom_site_fract_z
Nd1 Nd 0.0000 0.3923 0.0000
Mg1 Mg 0.0000 0.7713 0.5000
Hg1 Hg 0.3333 0.6667 0.5000
Ir1 Ir 0.0000 0.0000 0.0000